(1)
Below is a geometry-optimized Pr2ZnGe2 structure, with properties calculated at the PBE level.

Lattice parameters (Å, degrees): 6.011 6.011 10.882 111.63 111.63 41.84
Element x y z (fractional)
Pr  0.094  0.094  0.410
Pr  0.302  0.302  0.854
Pr  0.698  0.698  0.146
Pr  0.906  0.906  0.590
Zn  0.429  0.429  0.188
Zn  0.571  0.571  0.812
Ge  0.045  0.045  0.912
Ge  0.346  0.346  0.366
Ge  0.654  0.654  0.634
Ge  0.955  0.955  0.088

Values from the calculation:
The calculation puts the formation energy at -692 meV/atom. Its symmetry is C2/m, No. 12. Its calculated total energy is -4.71 eV/atom. Its volume is 24.10 Å³/atom.

(2)
Below is a geometry-optimized ThScF structure, with properties calculated at the PBE level.

Lattice parameters (Å, degrees): 3.484 3.484 10.585 90.00 90.00 90.00
Element x y z (fractional)
Th  0.250  0.250  0.124
Th  0.750  0.750  0.876
Sc  0.250  0.250  0.637
Sc  0.750  0.750  0.363
F  0.250  0.750  0.500
F  0.750  0.250  0.500

Values from the calculation:
Its symmetry is P4/nmm, No. 129. Its calculated total energy is -6.82 eV/atom. The calculation puts the raw formation energy at -1.612 eV per atom. Its volume is 21.41 Å³/atom.

(3)
Below is a geometry-optimized Li5HoAg6 structure, with properties calculated at the PBE level.

Lattice parameters (Å, degrees): 7.243 7.243 6.762 90.04 90.04 143.11
Element x y z (fractional)
Li  0.000  0.000  0.000
Li  0.327  0.673  0.500
Li  0.339  0.661  0.000
Li  0.661  0.339  0.000
Li  0.673  0.327  0.500
Ho  0.000  0.000  0.500
Ag  0.174  0.826  0.231
Ag  0.174  0.826  0.769
Ag  0.499  0.499  0.225
Ag  0.501  0.501  0.775
Ag  0.826  0.174  0.231
Ag  0.826  0.174  0.769

Values from the calculation:
The value obtained for the excess energy over the best structure of this formula in the dataset is 4 meV/atom. The calculation puts the formation energy at -197 meV/atom. Its symmetry is C2/m, No. 12. Its calculated total energy is -2.80 eV/atom. Its volume is 17.74 Å³/atom.

(4)
Below is a geometry-optimized Th2TePd2 structure, with properties calculated at the PBE level.

Lattice parameters (Å, degrees): 7.956 7.956 3.875 90.00 90.00 90.00
Element x y z (fractional)
Th  0.174  0.326  0.000
Th  0.326  0.826  0.000
Th  0.674  0.174  0.000
Th  0.826  0.674  0.000
Te  0.000  0.000  0.500
Te  0.500  0.500  0.500
Pd  0.124  0.624  0.500
Pd  0.376  0.124  0.500
Pd  0.624  0.876  0.500
Pd  0.876  0.376  0.500

Values from the calculation:
Its symmetry is P4/mbm, No. 127. Its calculated total energy is -6.56 eV/atom. The calculation puts the raw formation energy at -0.886 eV per atom. Its volume is 24.53 Å³/atom.

(5)
Below is a geometry-optimized K2RbTlF4 structure, with properties calculated at the PBE level.

Lattice parameters (Å, degrees): 7.666 7.666 12.025 90.00 90.00 150.92
Element x y z (fractional)
K  0.127  0.873  0.515
K  0.127  0.873  0.985
K  0.873  0.127  0.015
K  0.873  0.127  0.485
Rb  0.269  0.731  0.250
Rb  0.731  0.269  0.750
Tl  0.464  0.536  0.750
Tl  0.536  0.464  0.250
F  0.083  0.917  0.750
F  0.297  0.703  0.607
F  0.297  0.703  0.893
F  0.500  0.500  0.000
F  0.500  0.500  0.500
F  0.703  0.297  0.107
F  0.703  0.297  0.393
F  0.917  0.083  0.250

Values from the calculation:
Its symmetry is Cmcm, No. 63. Its calculated total energy is -4.05 eV/atom. The calculation puts the raw formation energy at -2.419 eV per atom. Its volume is 21.47 Å³/atom.

(6)
Below is a geometry-optimized Na3Li2Tl4 structure, with properties calculated at the PBE level.

Lattice parameters (Å, degrees): 5.171 5.176 9.714 90.10 90.02 119.92
Element x y z (fractional)
Na  0.000  0.000  0.000
Na  0.334  0.667  0.456
Na  0.666  0.333  0.544
Li  0.333  0.666  0.803
Li  0.667  0.334  0.197
Tl  0.000  0.000  0.326
Tl  0.000  0.000  0.674
Tl  0.334  0.667  0.126
Tl  0.666  0.333  0.874

Values from the calculation:
The calculation puts the formation energy at -127 meV/atom. Its symmetry is P-1, No. 2. Its calculated total energy is -2.04 eV/atom. Its volume is 25.04 Å³/atom.

(7)
Below is a geometry-optimized HgClF2 structure, with properties calculated at the PBE level.

Lattice parameters (Å, degrees): 4.389 4.389 4.389 60.00 60.00 60.00
Element x y z (fractional)
Hg  0.000  0.000  0.000
Cl  0.500  0.500  0.500
F  0.250  0.250  0.250
F  0.750  0.750  0.750

Values from the calculation:
The value obtained for the excess energy over the best structure of this formula in the dataset is 591 meV/atom. Its symmetry is Fm-3m, No. 225. Its calculated total energy is -1.91 eV/atom. The calculation puts the raw formation energy at -0.441 eV per atom. Its volume is 14.94 Å³/atom.

(8)
Below is a geometry-optimized K3BaTl8 structure, with properties calculated at the PBE level.

Lattice parameters (Å, degrees): 11.542 11.542 11.542 33.66 33.66 33.66
Element x y z (fractional)
K  0.000  0.000  0.000
K  0.123  0.123  0.123
K  0.629  0.629  0.629
Ba  0.503  0.503  0.503
Tl  0.063  0.063  0.562
Tl  0.063  0.562  0.063
Tl  0.064  0.564  0.564
Tl  0.315  0.315  0.315
Tl  0.562  0.063  0.063
Tl  0.564  0.064  0.564
Tl  0.564  0.564  0.064
Tl  0.813  0.813  0.813

Values from the calculation:
The value obtained for the excess energy over the best structure of this formula in the dataset is 16 meV/atom. The calculation puts the formation energy at -155 meV/atom. Its symmetry is R3m, No. 160. Its calculated total energy is -2.17 eV/atom. Its volume is 35.06 Å³/atom.

(9)
Below is a geometry-optimized Tb2HoTc structure, with properties calculated at the PBE level.

Lattice parameters (Å, degrees): 7.411 9.222 6.264 90.00 90.00 90.00
Element x y z (fractional)
Tb  0.177  0.064  0.161
Tb  0.177  0.436  0.161
Tb  0.323  0.564  0.661
Tb  0.323  0.936  0.661
Tb  0.677  0.064  0.339
Tb  0.677  0.436  0.339
Tb  0.823  0.564  0.839
Tb  0.823  0.936  0.839
Ho  0.043  0.250  0.630
Ho  0.457  0.750  0.130
Ho  0.543  0.250  0.870
Ho  0.957  0.750  0.370
Tc  0.113  0.750  0.960
Tc  0.387  0.250  0.460
Tc  0.613  0.750  0.540
Tc  0.887  0.250  0.040

Values from the calculation:
The value obtained for the excess energy over the best structure of this formula in the dataset is 0 meV/atom. The calculation puts the formation energy at -95 meV/atom. Its symmetry is Pnma, No. 62. Its calculated total energy is -6.15 eV/atom. Its volume is 26.76 Å³/atom.

(10)
Below is a geometry-optimized Y2Zr2In3 structure, with properties calculated at the PBE level.

Lattice parameters (Å, degrees): 11.640 11.640 3.237 90.00 90.00 156.64
Element x y z (fractional)
Y  0.074  0.926  0.000
Y  0.926  0.074  0.000
Zr  0.212  0.788  0.000
Zr  0.788  0.212  0.000
In  0.342  0.658  0.500
In  0.500  0.500  0.500
In  0.658  0.342  0.500

Values from the calculation:
The calculation puts the formation energy at -242 meV/atom. Its symmetry is Cmmm, No. 65. Its calculated total energy is -5.70 eV/atom. Its volume is 24.84 Å³/atom.

(11)
Below is a geometry-optimized MnSnAsPtI structure, with properties calculated at the PBE level.

Lattice parameters (Å, degrees): 4.210 4.210 8.451 92.37 92.37 60.21
Element x y z (fractional)
Mn  0.000  0.000  0.000
Sn  0.656  0.656  0.804
As  0.336  0.336  0.065
Pt  0.982  0.982  0.683
I  0.945  0.945  0.374

Values from the calculation:
The value obtained for the excess energy over the best structure of this formula in the dataset is 196 meV/atom. Its symmetry is Cm, No. 8. Its calculated total energy is -5.13 eV/atom. The calculation puts the raw formation energy at -0.046 eV per atom. Its volume is 25.97 Å³/atom.

(12)
Below is a geometry-optimized SnHg2S5 structure, with properties calculated at the PBE level.

Lattice parameters (Å, degrees): 7.234 7.234 11.716 90.00 90.00 136.34
Element x y z (fractional)
Sn  0.220  0.780  0.750
Sn  0.780  0.220  0.250
Hg  0.146  0.854  0.068
Hg  0.146  0.854  0.432
Hg  0.854  0.146  0.568
Hg  0.854  0.146  0.932
S  0.069  0.931  0.623
S  0.069  0.931  0.877
S  0.246  0.754  0.250
S  0.340  0.660  0.584
S  0.340  0.660  0.916
S  0.660  0.340  0.084
S  0.660  0.340  0.416
S  0.754  0.246  0.750
S  0.931  0.069  0.123
S  0.931  0.069  0.377

Values from the calculation:
Its symmetry is Cmcm, No. 63. Its calculated total energy is -3.04 eV/atom. The calculation puts the raw formation energy at 0.120 eV per atom. Its volume is 26.46 Å³/atom.

> What is the formula in the tenth record?

Y2Zr2In3